Material: RuRh4W
Method: DFT, PBE
State: optimized geometry

a b c (Å): 5.244 5.253 7.889
angles (deg): 100.20 100.00 117.53
Sites, in units of the cell vectors:
1 Ru 0.105 0.355 0.250
2 Ru 0.895 0.645 0.750
3 Rh 0.038 0.286 0.568
4 Rh 0.224 0.474 0.947
5 Rh 0.279 0.027 0.068
6 Rh 0.476 0.226 0.448
7 Rh 0.524 0.774 0.552
8 Rh 0.721 0.973 0.932
9 Rh 0.776 0.526 0.053
10 Rh 0.962 0.714 0.432
11 W 0.344 0.093 0.750
12 W 0.656 0.907 0.250

Energy = -102.55 eV/cell
Density = 12.8 g cm⁻³
E_form = 0.060 eV per atom
E above lowest polymorph = 0 meV/atom
Magnetic moment = 0.0 μB/f.u.